[1]
A relaxed structure of Sc2FeW, computed with PBE.

## Properties
ΔH_f (0 K) in eV/atom: 0.324
ΔE to the lowest computed polymorph in kJ/mol of atoms: 28.2
DFT total energy in eV per atom: -8.20

Cell lengths 4.920, 4.920, 2.925 Å; angles 90.00, 90.00, 90.00 degrees
Space group P4/mmm (No. 123)
One atom of each set of equivalent atoms:
Sc  0.000  0.500  0.000 x2
Fe  0.000  0.000  0.500 x1
W  0.500  0.500  0.500 x1

=====

[2]
A relaxed structure of ScCr4P, computed with PBE.

## Properties
ΔH_f (0 K) in eV/atom: 0.169
DFT total energy in eV per atom: -8.20

Cell lengths 6.832, 6.832, 6.832 Å; angles 90.00, 90.00, 90.00 degrees
Space group F-43m (No. 216)
One atom of each set of equivalent atoms:
Sc  0.000  0.000  0.000 x4
Cr  0.123  0.123  0.623 x16
P  0.250  0.250  0.250 x4

=====

[3]
A relaxed structure of Sr2Ac5Nd, computed with PBE.

## Properties
ΔH_f (0 K) in eV/atom: 0.046
DFT total energy in eV per atom: -3.54

Cell lengths 5.633, 5.633, 22.945 Å; angles 90.00, 90.00, 90.00 degrees
Space group I4/mmm (No. 139)
One atom of each set of equivalent atoms:
Sr  0.000  0.000  0.250 x4
Ac  0.000  0.000  0.000 x2
Ac  0.000  0.500  0.116 x8
Nd  0.000  0.000  0.500 x2

=====

[4]
A relaxed structure of Th2Sb2Te7, computed with PBE.

## Properties
DFT total energy in eV per atom: -4.71
E_form (uncorrected) in meV/atom: -608

Cell lengths 4.390, 16.680, 10.072 Å; angles 90.00, 90.00, 90.00 degrees
Space group Imm2 (No. 44)
One atom of each set of equivalent atoms:
Th  0.000  0.000  0.000 x2
Th  0.000  0.500  0.088 x2
Sb  0.000  0.317  0.812 x4
Te  0.000  0.131  0.536 x4
Te  0.000  0.182  0.114 x4
Te  0.000  0.390  0.352 x4
Te  0.000  0.500  0.747 x2

=====

[5]
A relaxed structure of BaLi6Tl12, computed with PBE.

## Properties
ΔH_f (0 K) in eV/atom: -0.140
DFT total energy in eV per atom: -2.34

Cell lengths 13.1863, 13.1863, 10.0806 Å; angles 90.00, 90.00, 120.00 degrees
Space group R-3m (No. 166, hexagonal axes)
One atom of each set of equivalent atoms:
Ba  0.0000  0.0000  0.0000 x3
Li  0.0356  0.5178  0.2538 x18
Tl  0.0000  0.3816  0.5000 x18
Tl  0.0865  0.1730  0.3357 x18

=====

[6]
A relaxed structure of YLuInTc, computed with PBE.

## Properties
ΔH_f (0 K) in eV/atom: -0.178
DFT total energy in eV per atom: -6.20

Cell lengths 7.112, 7.112, 7.112 Å; angles 90.00, 90.00, 90.00 degrees
Space group F-43m (No. 216)
One atom of each set of equivalent atoms:
Y  0.000  0.000  0.000 x4
Lu  0.000  0.000  0.500 x4
In  0.250  0.250  0.250 x4
Tc  0.250  0.250  0.750 x4

=====

[7]
A relaxed structure of Ca2OsRu, computed with PBE.

## Properties
ΔH_f (0 K) in eV/atom: 0.655
ΔE to the lowest computed polymorph in kJ/mol of atoms: 40.4
DFT total energy in eV per atom: -5.47

Cell lengths 2.934, 2.934, 9.060 Å; angles 90.00, 90.00, 90.00 degrees
Space group P4/mmm (No. 123)
One atom of each set of equivalent atoms:
Ca  0.000  0.000  0.249 x2
Os  0.500  0.500  0.000 x1
Ru  0.500  0.500  0.500 x1

=====

[8]
A relaxed structure of KCdIn, computed with PBE.

## Properties
ΔH_f (0 K) in eV/atom: -0.115
ΔE to the lowest computed polymorph in kJ/mol of atoms: 0.9
DFT total energy in eV per atom: -1.70

Cell lengths 5.264, 6.560, 6.730 Å; angles 82.51, 67.13, 66.53 degrees
Space group P-1 (No. 2)
One atom of each set of equivalent atoms:
K  0.070  0.182  0.176 x2
Cd  0.340  0.585  0.235 x2
In  0.336  0.237  0.588 x2

=====

Number 1: size of the total moment 1.7 μB/cell. Number 2: size of the total moment 0.0 μB/cell. Number 3: size of the total moment 0.0 μB/cell. Number 4: size of the total moment 0.0 μB/cell. Number 5: size of the total moment 0.0 μB/cell. Number 6: size of the total moment 0.0 μB/cell. Number 7: size of the total moment 0.8 μB/cell. Number 8: size of the total moment 0.0 μB/cell.